Density functional theory data (PBE+U) for a geometry-optimized Na2Ni2RhO6 structure.

abc: 5.1846 5.1846 5.7165
angles: 99.32 99.32 118.98
Last column: magnetic moment on the atom in μB.
Fractional coordinates of all 11 atoms:
Rh 0.0000 0.0000 0.5000  -0.96
O 0.6080 0.9414 0.3084  -0.15
O 0.0586 0.3920 0.6916  -0.15
O 0.9414 0.6080 0.3084  -0.15
O 0.2594 0.2594 0.3102  -0.14
O 0.3920 0.0586 0.6916  -0.15
O 0.7406 0.7406 0.6898  -0.14
Na 0.8289 0.1711 0.0000  0.00
Na 0.1711 0.8289 0.0000  0.00
Ni 0.3351 0.6649 0.5000  1.52
Ni 0.6649 0.3351 0.5000  1.52

Results
Total magnetic moment (μB/f.u.): 1.0
Symmetry: C2/m, No. 12
D(E_F) (states/eV/atom): 0.265
Total DFT energy (no corrections) (eV per atom): -5.13